MnRe2F | PBE+U | relaxed

Cell lengths 4.2260, 4.2260, 4.2260 Å; angles 60.00, 60.00, 60.00 degrees
Closest atoms and distances in Å follow each position.
Atoms (fractional coordinates):
1 Mn 0.5000 0.5000 0.5000  8 Re 2.59
2 Re 0.2500 0.2500 0.2500  4 Mn 2.59, 4 F 2.59
3 Re 0.7500 0.7500 0.7500  4 Mn 2.59, 4 F 2.59
4 F 0.0000 0.0000 0.0000  8 Re 2.59

## Properties
* space-group type: Fm-3m
* ΔE to the lowest computed polymorph: 0.51 eV per formula unit